A relaxed K6Rb2Hg crystal. Source: the Alexandria database, functional PBE. Values from VASP.

## Properties
The value obtained for the calculated volume is 616 Å³/f.u. Its symmetry is Amm2, No. 38. The crystal system is orthorhombic. Its energy of formation from the pure elements is -0.0388 eV/atom.

The structure in Quantum ESPRESSO input format:
```
&SYSTEM
  ibrav = 0, nat = 9, ntyp = 3
/
ATOMIC_SPECIES
K 39.10 K.upf
Rb 85.47 Rb.upf
Hg 200.59 Hg.upf
ATOMIC_POSITIONS crystal
K 0.500 0.606 0.000
K 0.000 0.983 0.209
Rb 0.000 0.691 0.365
Rb 0.000 0.326 0.635
K 0.500 0.339 0.323
K 0.500 0.015 0.677
K 0.000 0.250 0.000
Hg 0.500 0.015 0.000
K 0.000 0.775 0.791
CELL_PARAMETERS angstrom
-2.938 3.381 2.275
-8.958 -7.166 -0.921
6.909 -0.670 9.918
```

A relaxed FeBIr2 crystal. Source: the Alexandria database, functional PBE. Values from VASP.

## Properties
The value obtained for the calculated volume is 64 Å³/f.u. Its symmetry is I-42d, No. 122. The crystal system is tetragonal. Its energy of formation from the pure elements is 0.5566 eV/atom.

The structure in Quantum ESPRESSO input format:
```
&SYSTEM
  ibrav = 0, nat = 8, ntyp = 3
/
ATOMIC_SPECIES
Fe 55.84 Fe.upf
Ir 192.22 Ir.upf
B 10.81 B.upf
ATOMIC_POSITIONS crystal
Fe 0.000 0.000 0.000
Fe 0.750 0.250 0.500
Ir 0.183 0.625 0.250
B 0.250 0.750 0.500
Ir 0.875 0.817 0.750
B 0.500 0.500 0.000
Ir 0.375 0.433 0.750
Ir 0.567 0.125 0.250
CELL_PARAMETERS angstrom
-4.795 -0.723 -1.279
-0.124 -4.151 2.811
-3.935 0.305 4.750
```

A relaxed Ta2RhAu crystal. Source: the Alexandria database, functional PBE. Values from VASP.

## Properties
The value obtained for the calculated volume is 68 Å³/f.u. Its symmetry is F-43m, No. 216. The crystal system is cubic. Its energy of formation from the pure elements is 0.0069 eV/atom.

The structure in Quantum ESPRESSO input format:
```
&SYSTEM
  ibrav = 0, nat = 4, ntyp = 3
/
ATOMIC_SPECIES
Au 196.97 Au.upf
Ta 180.95 Ta.upf
Rh 102.91 Rh.upf
ATOMIC_POSITIONS crystal
Au 0.500 0.500 0.500
Ta 0.750 0.750 0.750
Ta 0.000 0.000 0.000
Rh 0.250 0.250 0.250
CELL_PARAMETERS angstrom
-3.234 -3.226 -0.268
-0.773 -2.766 3.562
-3.856 0.419 2.427
```

A relaxed Hf3PN crystal. Source: the Alexandria database, functional PBE. Values from VASP.

## Properties
The value obtained for the calculated volume is 93 Å³/f.u. Its symmetry is P2_1/m, No. 11. The crystal system is monoclinic. As for the energy relative to the elements, uncorrected: -0.98 eV per atom.

The structure in Quantum ESPRESSO input format:
```
&SYSTEM
  ibrav = 0, nat = 10, ntyp = 3
/
ATOMIC_SPECIES
Hf 178.49 Hf.upf
N 14.01 N.upf
P 30.97 P.upf
ATOMIC_POSITIONS crystal
Hf 0.250 0.144 0.419
Hf 0.250 0.503 0.746
N 0.750 0.899 0.389
Hf 0.250 0.235 0.960
Hf 0.750 0.765 0.040
Hf 0.750 0.497 0.254
N 0.250 0.101 0.611
P 0.750 0.878 0.831
P 0.250 0.122 0.169
Hf 0.750 0.856 0.581
CELL_PARAMETERS angstrom
3.488 0.000 0.000
0.000 5.367 -0.712
0.000 -3.288 10.354
```

A relaxed TmBeGaPt3 crystal. Source: the Alexandria database, functional PBE. Values from VASP.

## Properties
The value obtained for the calculated volume is 107 Å³/f.u. Its symmetry is Cmcm, No. 63. The crystal system is orthorhombic. Its energy of formation from the pure elements is -0.6904 eV/atom.

The structure in Quantum ESPRESSO input format:
```
&SYSTEM
  ibrav = 0, nat = 12, ntyp = 4
/
ATOMIC_SPECIES
Pt 195.08 Pt.upf
Tm 168.93 Tm.upf
Ga 69.72 Ga.upf
Be 9.01 Be.upf
ATOMIC_POSITIONS crystal
Pt 0.750 0.814 0.628
Pt 0.000 0.299 0.000
Tm 0.250 0.694 0.389
Pt 0.500 0.299 0.000
Ga 0.750 0.052 0.103
Pt 0.000 0.701 0.000
Pt 0.500 0.701 0.000
Tm 0.750 0.306 0.611
Pt 0.250 0.186 0.372
Ga 0.250 0.948 0.897
Be 0.250 0.381 0.761
Be 0.750 0.619 0.239
CELL_PARAMETERS angstrom
5.443 0.000 0.000
0.000 6.817 0.000
0.000 -3.409 5.757
```

A relaxed CdFe2Tc crystal. Source: the Alexandria database, functional PBE. Values from VASP.

## Properties
The value obtained for the calculated volume is 57 Å³/f.u. Its symmetry is P4/mmm, No. 123. The crystal system is tetragonal. Its energy of formation from the pure elements is 0.2661 eV/atom.

The structure in Quantum ESPRESSO input format:
```
&SYSTEM
  ibrav = 0, nat = 4, ntyp = 3
/
ATOMIC_SPECIES
Fe 55.84 Fe.upf
Cd 112.41 Cd.upf
Tc 98.00 Tc.upf
ATOMIC_POSITIONS crystal
Fe 0.000 0.000 0.476
Cd 0.500 0.500 0.750
Tc 0.500 0.500 0.250
Fe 0.000 0.000 0.024
CELL_PARAMETERS angstrom
-0.185 -2.443 -1.184
2.572 -0.537 0.706
-2.453 -3.027 6.629
```

A relaxed BC2 crystal. Source: the Alexandria database, functional PBE. Values from VASP.

## Properties
The value obtained for the calculated volume is 19 Å³/f.u. Its symmetry is Cm, No. 8. The crystal system is monoclinic. Its energy of formation from the pure elements is 0.3707 eV/atom.

The structure in Quantum ESPRESSO input format:
```
&SYSTEM
  ibrav = 0, nat = 12, ntyp = 2
/
ATOMIC_SPECIES
C 12.01 C.upf
B 10.81 B.upf
ATOMIC_POSITIONS crystal
C 0.322 0.322 0.661
B 0.503 0.503 0.855
C 0.332 0.332 0.151
C 0.830 0.830 0.037
C 0.167 0.167 0.710
B 0.005 0.005 0.015
C 0.830 0.830 0.558
C 0.992 0.992 0.517
B 0.490 0.490 0.382
B 0.669 0.669 0.324
C 0.674 0.674 0.829
C 0.187 0.187 0.210
CELL_PARAMETERS angstrom
0.331 -4.520 0.116
0.814 -3.729 2.446
-7.259 2.982 0.490
```

A relaxed Ca2Ac3Pr crystal. Source: the Alexandria database, functional PBE. Values from VASP.

## Properties
The value obtained for the calculated volume is 254 Å³/f.u. Its symmetry is C2/c, No. 15. The crystal system is monoclinic. Its energy of formation from the pure elements is 0.0789 eV/atom.

The structure in Quantum ESPRESSO input format:
```
&SYSTEM
  ibrav = 0, nat = 12, ntyp = 3
/
ATOMIC_SPECIES
Ca 40.08 Ca.upf
Ac 227.00 Ac.upf
Pr 140.91 Pr.upf
ATOMIC_POSITIONS crystal
Ca 0.531 0.824 0.607
Ac 0.931 0.707 0.444
Ac 0.293 0.069 0.056
Ca 0.176 0.469 0.893
Ac 0.377 0.623 0.250
Ca 0.824 0.531 0.107
Ac 0.069 0.293 0.556
Ac 0.707 0.931 0.944
Ac 0.623 0.377 0.750
Pr 0.906 0.094 0.250
Pr 0.094 0.906 0.750
Ca 0.469 0.176 0.393
CELL_PARAMETERS angstrom
-2.648 6.399 1.867
-1.693 -2.370 -6.554
-8.695 -5.193 4.420
```

A relaxed BaNaPaO4 crystal. Source: the Alexandria database, functional PBE. Values from VASP.

## Properties
The value obtained for the calculated volume is 133 Å³/f.u. Its symmetry is Imma, No. 74. The crystal system is orthorhombic. As for the energy relative to the elements, uncorrected: -2.96 eV per atom.

The structure in Quantum ESPRESSO input format:
```
&SYSTEM
  ibrav = 0, nat = 14, ntyp = 4
/
ATOMIC_SPECIES
Na 22.99 Na.upf
O 16.00 O.upf
Pa 231.04 Pa.upf
Ba 137.33 Ba.upf
ATOMIC_POSITIONS crystal
Na 0.000 0.500 0.500
Na 0.500 0.500 0.500
O 0.688 0.989 0.245
O 0.703 0.406 0.225
O 0.297 0.594 0.775
Pa 0.500 0.000 0.000
Pa 0.500 0.000 0.500
O 0.301 0.989 0.245
O 0.699 0.011 0.755
O 0.297 0.594 0.319
O 0.312 0.011 0.755
O 0.703 0.406 0.681
Ba 0.859 0.718 0.109
Ba 0.141 0.282 0.891
CELL_PARAMETERS angstrom
-0.750 0.499 -7.149
-5.809 -0.863 4.180
3.642 6.278 0.056
```

A relaxed PrHo5ErTm2 crystal. Source: the Alexandria database, functional PBE. Values from VASP.

## Properties
The value obtained for the calculated volume is 288 Å³/f.u. Its symmetry is Cmc2_1, No. 36. The crystal system is orthorhombic. Its energy of formation from the pure elements is 0.1676 eV/atom.

The structure in Quantum ESPRESSO input format:
```
&SYSTEM
  ibrav = 0, nat = 18, ntyp = 4
/
ATOMIC_SPECIES
Pr 140.91 Pr.upf
Ho 164.93 Ho.upf
Er 167.26 Er.upf
Tm 168.93 Tm.upf
ATOMIC_POSITIONS crystal
Pr 0.584 0.168 0.950
Ho 0.702 0.403 0.210
Ho 0.478 0.956 0.737
Ho 0.386 0.773 0.023
Ho 0.298 0.597 0.710
Ho 0.982 0.965 0.524
Ho 0.018 0.035 0.024
Er 0.199 0.398 0.013
Tm 0.888 0.777 0.235
Ho 0.720 0.439 0.814
Ho 0.522 0.044 0.237
Ho 0.280 0.561 0.314
Ho 0.614 0.227 0.523
Pr 0.416 0.832 0.450
Tm 0.112 0.223 0.735
Er 0.801 0.602 0.513
Tm 0.887 0.773 0.818
Tm 0.113 0.227 0.318
CELL_PARAMETERS angstrom
-3.448 -0.701 4.324
7.246 -7.187 1.018
5.780 6.633 5.684
```

A relaxed SrGaTe2 crystal. Source: the Alexandria database, functional PBE. Values from VASP.

## Properties
The value obtained for the calculated volume is 194 Å³/f.u. Its symmetry is R-3m, No. 166. The crystal system is trigonal. As for the energy relative to the elements, uncorrected: -0.58 eV per atom.

The structure in Quantum ESPRESSO input format:
```
&SYSTEM
  ibrav = 0, nat = 4, ntyp = 3
/
ATOMIC_SPECIES
Te 127.60 Te.upf
Sr 87.62 Sr.upf
Ga 69.72 Ga.upf
ATOMIC_POSITIONS crystal
Te 0.896 0.896 0.896
Te 0.104 0.104 0.104
Sr 0.500 0.500 0.500
Ga 0.000 0.000 0.000
CELL_PARAMETERS angstrom
-5.390 6.933 -2.386
-3.453 8.133 2.178
-0.673 8.843 -2.039
```

A relaxed AcPm5Sn6 crystal. Source: the Alexandria database, functional PBE. Values from VASP.

## Properties
The value obtained for the calculated volume is 376 Å³/f.u. Its symmetry is C2/m, No. 12. The crystal system is monoclinic. Its energy of formation from the pure elements is -0.6230 eV/atom.

The structure in Quantum ESPRESSO input format:
```
&SYSTEM
  ibrav = 0, nat = 12, ntyp = 3
/
ATOMIC_SPECIES
Ac 227.00 Ac.upf
Sn 118.71 Sn.upf
Pm 145.00 Pm.upf
ATOMIC_POSITIONS crystal
Ac 0.000 0.000 0.000
Sn 0.281 0.531 0.346
Sn 0.220 0.303 0.000
Sn 0.281 0.877 0.654
Sn 0.719 0.123 0.346
Pm 0.500 0.850 0.300
Sn 0.719 0.469 0.654
Sn 0.780 0.697 0.000
Pm 0.000 0.322 0.356
Pm 0.500 0.500 0.000
Pm 0.500 0.150 0.700
Pm 0.000 0.678 0.644
CELL_PARAMETERS angstrom
8.454 0.549 0.000
2.964 5.754 0.000
1.482 2.877 7.989
```

A relaxed Pm3DyO crystal. Source: the Alexandria database, functional PBE. Values from VASP.

## Properties
The value obtained for the calculated volume is 129 Å³/f.u. Its symmetry is Pm-3m, No. 221. The crystal system is cubic. As for the energy relative to the elements, uncorrected: -1.10 eV per atom.

The structure in Quantum ESPRESSO input format:
```
&SYSTEM
  ibrav = 0, nat = 5, ntyp = 3
/
ATOMIC_SPECIES
Pm 145.00 Pm.upf
O 16.00 O.upf
Dy 162.50 Dy.upf
ATOMIC_POSITIONS crystal
Pm 0.000 0.500 0.000
Pm 0.000 0.000 0.500
O 0.000 0.000 0.000
Pm 0.500 0.000 0.000
Dy 0.500 0.500 0.500
CELL_PARAMETERS angstrom
5.058 0.000 0.000
0.000 5.058 0.000
0.000 0.000 5.058
```

A relaxed Tl3Sb2PbSe6 crystal. Source: the Alexandria database, functional PBE. Values from VASP.

## Properties
The value obtained for the calculated volume is 352 Å³/f.u. Its symmetry is C2/m, No. 12. The crystal system is monoclinic. As for the energy relative to the elements, uncorrected: -0.37 eV per atom.

The structure in Quantum ESPRESSO input format:
```
&SYSTEM
  ibrav = 0, nat = 12, ntyp = 4
/
ATOMIC_SPECIES
Tl 204.38 Tl.upf
Sb 121.76 Sb.upf
Pb 207.20 Pb.upf
Se 78.96 Se.upf
ATOMIC_POSITIONS crystal
Tl 0.840 0.160 0.500
Sb 0.667 0.333 0.000
Pb 0.000 0.000 0.000
Se 0.924 0.574 0.776
Se 0.574 0.924 0.776
Tl 0.160 0.840 0.500
Tl 0.500 0.500 0.500
Se 0.076 0.426 0.224
Se 0.721 0.721 0.216
Se 0.279 0.279 0.784
Sb 0.333 0.667 0.000
Se 0.426 0.076 0.224
CELL_PARAMETERS angstrom
7.376 0.004 -0.003
-3.683 6.391 -0.003
-1.235 -2.138 7.459
```

A relaxed AlCd4Mo crystal. Source: the Alexandria database, functional PBE. Values from VASP.

## Properties
The value obtained for the calculated volume is 126 Å³/f.u. Its symmetry is F-43m, No. 216. The crystal system is cubic. Its energy of formation from the pure elements is 0.5904 eV/atom.

The structure in Quantum ESPRESSO input format:
```
&SYSTEM
  ibrav = 0, nat = 6, ntyp = 3
/
ATOMIC_SPECIES
Al 26.98 Al.upf
Cd 112.41 Cd.upf
Mo 95.94 Mo.upf
ATOMIC_POSITIONS crystal
Al 0.000 0.000 0.000
Cd 0.375 0.375 0.874
Cd 0.375 0.375 0.375
Cd 0.874 0.375 0.375
Cd 0.375 0.874 0.375
Mo 0.750 0.750 0.750
CELL_PARAMETERS angstrom
5.064 -0.582 2.393
1.101 2.527 4.911
0.564 -3.074 4.685
```

A relaxed NaTe2W crystal. Source: the Alexandria database, functional PBE. Values from VASP.

## Properties
The value obtained for the calculated volume is 113 Å³/f.u. Its symmetry is R-3m, No. 166. The crystal system is trigonal. As for the energy relative to the elements, uncorrected: 0.07 eV per atom.

The structure in Quantum ESPRESSO input format:
```
&SYSTEM
  ibrav = 0, nat = 4, ntyp = 3
/
ATOMIC_SPECIES
Te 127.60 Te.upf
W 183.84 W.upf
Na 22.99 Na.upf
ATOMIC_POSITIONS crystal
Te 0.893 0.893 0.893
W 0.500 0.500 0.500
Na 0.000 0.000 0.000
Te 0.107 0.107 0.107
CELL_PARAMETERS angstrom
2.061 0.000 10.243
-1.031 1.785 10.243
-1.031 -1.785 10.243
```

A relaxed NpIn6Cl12 crystal. Source: the Alexandria database, functional PBE. Values from VASP.

## Properties
The value obtained for the calculated volume is 632 Å³/f.u. Its symmetry is R-3, No. 148. The crystal system is trigonal. As for the energy relative to the elements, uncorrected: -1.02 eV per atom.

The structure in Quantum ESPRESSO input format:
```
&SYSTEM
  ibrav = 0, nat = 19, ntyp = 3
/
ATOMIC_SPECIES
In 114.82 In.upf
Cl 35.45 Cl.upf
Np 237.00 Np.upf
ATOMIC_POSITIONS crystal
In 0.331 0.615 0.160
In 0.840 0.669 0.385
In 0.669 0.385 0.840
In 0.160 0.331 0.615
In 0.615 0.160 0.331
Cl 0.437 0.577 0.819
Np 0.000 0.000 0.000
In 0.385 0.840 0.669
Cl 0.075 0.292 0.978
Cl 0.563 0.423 0.181
Cl 0.925 0.708 0.022
Cl 0.292 0.978 0.075
Cl 0.181 0.563 0.423
Cl 0.577 0.819 0.437
Cl 0.022 0.925 0.708
Cl 0.708 0.022 0.925
Cl 0.978 0.075 0.292
Cl 0.819 0.437 0.577
Cl 0.423 0.181 0.563
CELL_PARAMETERS angstrom
-2.787 6.250 -5.420
-6.813 -5.444 -0.371
-1.588 3.857 7.668
```

A relaxed PIr2Se crystal. Source: the Alexandria database, functional PBE. Values from VASP.

## Properties
The value obtained for the calculated volume is 68 Å³/f.u. Its symmetry is Cm, No. 8. The crystal system is monoclinic. As for the energy relative to the elements, uncorrected: -0.10 eV per atom.

The structure in Quantum ESPRESSO input format:
```
&SYSTEM
  ibrav = 0, nat = 4, ntyp = 3
/
ATOMIC_SPECIES
Se 78.96 Se.upf
Ir 192.22 Ir.upf
P 30.97 P.upf
ATOMIC_POSITIONS crystal
Se 0.232 0.232 0.781
Ir 0.956 0.956 0.998
Ir 0.793 0.793 0.430
P 0.520 0.520 0.291
CELL_PARAMETERS angstrom
2.600 0.719 -3.222
2.742 2.920 -1.269
4.467 -2.678 2.694
```

A relaxed InCu2Sn crystal. Source: the Alexandria database, functional PBE. Values from VASP.

## Properties
The value obtained for the calculated volume is 82 Å³/f.u. Its symmetry is I-42d, No. 122. The crystal system is tetragonal. Its energy of formation from the pure elements is 0.3038 eV/atom.

The structure in Quantum ESPRESSO input format:
```
&SYSTEM
  ibrav = 0, nat = 8, ntyp = 3
/
ATOMIC_SPECIES
Cu 63.55 Cu.upf
Sn 118.71 Sn.upf
In 114.82 In.upf
ATOMIC_POSITIONS crystal
Cu 0.628 0.125 0.250
Cu 0.375 0.372 0.750
Sn 0.750 0.250 0.500
In 0.250 0.750 0.500
Cu 0.122 0.625 0.250
Sn 0.000 0.000 0.000
Cu 0.875 0.878 0.750
In 0.500 0.500 0.000
CELL_PARAMETERS angstrom
-6.577 -2.824 -1.409
2.906 -6.689 -0.161
-2.354 -5.054 2.235
```

A relaxed Pr2Ga2Rh crystal. Source: the Alexandria database, functional PBE. Values from VASP.

## Properties
The value obtained for the calculated volume is 116 Å³/f.u. Its symmetry is C2/m, No. 12. The crystal system is monoclinic. Its energy of formation from the pure elements is -0.6875 eV/atom.

The structure in Quantum ESPRESSO input format:
```
&SYSTEM
  ibrav = 0, nat = 10, ntyp = 3
/
ATOMIC_SPECIES
Ga 69.72 Ga.upf
Pr 140.91 Pr.upf
Rh 102.91 Rh.upf
ATOMIC_POSITIONS crystal
Ga 0.625 0.870 0.881
Pr 0.676 0.324 0.325
Pr 0.079 0.729 0.113
Pr 0.324 0.676 0.675
Ga 0.088 0.263 0.562
Ga 0.912 0.737 0.438
Rh 0.352 0.923 0.373
Ga 0.375 0.130 0.119
Rh 0.648 0.077 0.627
Pr 0.921 0.271 0.887
CELL_PARAMETERS angstrom
4.485 0.000 0.000
2.243 5.475 -0.093
2.243 0.136 9.459
```